Record 1
! PBE TaNb2Mo3, optimized geometry; values from VASP
&SYSTEM
  ibrav = 0, nat = 6, ntyp = 3
/
ATOMIC_SPECIES
Nb 92.91 Nb.upf
Mo 95.94 Mo.upf
Ta 180.95 Ta.upf
CELL_PARAMETERS angstrom
-0.253 -2.435 2.112
3.213 -0.029 0.352
-0.736 6.362 7.248
ATOMIC_POSITIONS crystal
Nb 0.500 0.500 0.833
Mo 0.000 0.000 0.667
Mo 0.000 0.000 0.000
Mo 0.000 0.000 0.333
Nb 0.500 0.500 0.167
Ta 0.500 0.500 0.500
! Spin magnetization   0.00 μB/f.u.
! ρ   10.753 Mg/m³
! Space-group type   No. 123
! E   -10.911 eV per atom

=====

Record 2
! PBE Ta8Nb6Mo, optimized geometry; values from VASP
&SYSTEM
  ibrav = 0, nat = 15, ntyp = 3
/
ATOMIC_SPECIES
Ta 180.95 Ta.upf
Nb 92.91 Nb.upf
Mo 95.94 Mo.upf
CELL_PARAMETERS angstrom
5.603 0.000 0.000
0.000 6.623 -3.824
0.000 0.000 7.647
ATOMIC_POSITIONS crystal
Ta 0.135 0.667 0.333
Ta 0.166 0.268 0.246
Ta 0.166 0.754 0.022
Nb 0.365 0.564 0.660
Ta 0.166 0.978 0.732
Nb 0.635 0.904 0.564
Ta 0.834 0.022 0.268
Ta 0.834 0.246 0.978
Ta 0.834 0.732 0.754
Nb 0.635 0.660 0.096
Nb 0.365 0.096 0.436
Mo 0.500 0.000 0.000
Nb 0.635 0.436 0.340
Ta 0.865 0.333 0.667
Nb 0.365 0.340 0.904
! Spin magnetization   0.00 μB/f.u.
! ρ   12.294 Mg/m³
! Space-group type   No. 147
! E   -10.757 eV per atom

=====

Record 3
! PBE Ta4Nb5Mo, optimized geometry; values from VASP
&SYSTEM
  ibrav = 0, nat = 10, ntyp = 3
/
ATOMIC_SPECIES
Ta 180.95 Ta.upf
Nb 92.91 Nb.upf
Mo 95.94 Mo.upf
CELL_PARAMETERS angstrom
-2.280 0.425 2.330
-2.103 -1.850 -1.721
5.499 -13.556 7.854
ATOMIC_POSITIONS crystal
Ta 0.000 0.000 0.399
Nb 0.500 0.500 0.095
Nb 0.500 0.500 0.905
Ta 0.000 0.000 0.601
Nb 0.500 0.500 0.500
Mo 0.000 0.000 0.000
Nb 0.500 0.500 0.298
Ta 0.000 0.000 0.198
Nb 0.500 0.500 0.702
Ta 0.000 0.000 0.802
! Spin magnetization   0.00 μB/f.u.
! ρ   11.886 Mg/m³
! Space-group type   No. 123
! E   -10.900 eV per atom

=====

Record 4
! PBE Ta5Nb2Mo4, optimized geometry; values from VASP
&SYSTEM
  ibrav = 0, nat = 11, ntyp = 3
/
ATOMIC_SPECIES
Mo 95.94 Mo.upf
Nb 92.91 Nb.upf
Ta 180.95 Ta.upf
CELL_PARAMETERS angstrom
2.698 0.000 0.000
0.000 8.108 -0.099
-1.349 -2.034 9.455
ATOMIC_POSITIONS crystal
Mo 0.932 0.689 0.865
Mo 0.316 0.449 0.631
Mo 0.068 0.311 0.135
Nb 0.059 0.656 0.118
Ta 0.812 0.116 0.624
Ta 0.812 0.771 0.625
Mo 0.684 0.551 0.369
Ta 0.188 0.884 0.376
Ta 0.500 0.000 0.000
Nb 0.941 0.344 0.882
Ta 0.188 0.229 0.375
! Spin magnetization   0.00 μB/f.u.
! ΔE to the lowest computed polymorph   92 meV/atom
! ρ   11.868 Mg/m³
! Space-group type   No. 12
! E   -10.581 eV per atom

=====

Record 5
! PBE Ta3Nb4Mo, optimized geometry; values from VASP
&SYSTEM
  ibrav = 0, nat = 8, ntyp = 3
/
ATOMIC_SPECIES
Nb 92.91 Nb.upf
Mo 95.94 Mo.upf
Ta 180.95 Ta.upf
CELL_PARAMETERS angstrom
-1.472 -0.085 -2.932
2.918 -0.369 -1.454
-1.182 -13.196 0.977
ATOMIC_POSITIONS crystal
Nb 0.000 0.000 0.881
Nb 0.000 0.000 0.119
Mo 0.500 0.500 0.000
Nb 0.000 0.000 0.373
Ta 0.500 0.500 0.248
Ta 0.500 0.500 0.500
Nb 0.000 0.000 0.627
Ta 0.500 0.500 0.752
! Spin magnetization   0.00 μB/f.u.
! ΔE to the lowest computed polymorph   0 meV/atom
! ρ   11.730 Mg/m³
! Space-group type   No. 123
! E   -10.880 eV per atom

=====

Record 6
! PBE Ta3Nb2Mo7, optimized geometry; values from VASP
&SYSTEM
  ibrav = 0, nat = 12, ntyp = 3
/
ATOMIC_SPECIES
Ta 180.95 Ta.upf
Mo 95.94 Mo.upf
Nb 92.91 Nb.upf
CELL_PARAMETERS angstrom
-1.525 3.811 -1.924
-1.803 -2.386 -3.296
-8.433 0.295 7.267
ATOMIC_POSITIONS crystal
Ta 0.000 0.145 0.301
Mo 0.000 0.569 0.145
Mo 0.000 0.431 0.855
Mo 0.500 0.929 0.852
Ta 0.500 0.500 0.000
Mo 0.500 0.214 0.435
Nb 0.500 0.641 0.293
Mo 0.000 0.000 0.000
Nb 0.500 0.359 0.707
Mo 0.500 0.786 0.565
Mo 0.500 0.071 0.148
Ta 0.000 0.855 0.699
! Spin magnetization   0.00 μB/f.u.
! ρ   10.543 Mg/m³
! Space-group type   No. 10
! E   -10.661 eV per atom

=====

Record 7
! PBE TaNb2Mo4, optimized geometry; values from VASP
&SYSTEM
  ibrav = 0, nat = 7, ntyp = 3
/
ATOMIC_SPECIES
Mo 95.94 Mo.upf
Nb 92.91 Nb.upf
Ta 180.95 Ta.upf
CELL_PARAMETERS angstrom
-2.594 -0.898 -1.434
2.425 -1.496 -3.448
1.278 -7.793 4.279
ATOMIC_POSITIONS crystal
Mo 0.707 0.000 0.356
Mo 0.778 0.500 0.614
Nb 0.281 0.500 0.864
Nb 0.719 0.500 0.136
Mo 0.222 0.500 0.386
Mo 0.293 0.000 0.644
Ta 0.000 0.000 0.000
! Spin magnetization   0.00 μB/f.u.
! ρ   10.054 Mg/m³
! Space-group type   No. 10
! E   -10.373 eV per atom

=====

Record 8
! PBE Ta2Nb6Mo, optimized geometry; values from VASP
&SYSTEM
  ibrav = 0, nat = 9, ntyp = 3
/
ATOMIC_SPECIES
Nb 92.91 Nb.upf
Mo 95.94 Mo.upf
Ta 180.95 Ta.upf
CELL_PARAMETERS angstrom
2.793 0.357 -0.466
0.867 7.318 -0.734
-1.296 -1.191 8.301
ATOMIC_POSITIONS crystal
Nb 0.992 0.999 0.329
Nb 0.008 0.001 0.671
Mo 0.000 0.000 0.000
Ta 0.660 0.666 0.445
Nb 0.673 0.671 0.780
Nb 0.661 0.669 0.110
Nb 0.339 0.331 0.890
Ta 0.340 0.334 0.555
Nb 0.327 0.329 0.220
! Spin magnetization   0.00 μB/f.u.
! ΔE to the lowest computed polymorph   0 meV/atom
! ρ   10.466 Mg/m³
! Space-group type   No. 2
! E   -10.581 eV per atom

=====

Record 9
! PBE Ta3Nb4Mo, optimized geometry; values from VASP
&SYSTEM
  ibrav = 0, nat = 8, ntyp = 3
/
ATOMIC_SPECIES
Nb 92.91 Nb.upf
Ta 180.95 Ta.upf
Mo 95.94 Mo.upf
CELL_PARAMETERS angstrom
-0.369 2.238 -1.495
-9.602 -1.606 -0.034
4.466 2.695 5.401
ATOMIC_POSITIONS crystal
Nb 0.374 0.125 0.748
Ta 0.755 0.755 0.510
Nb 0.626 0.377 0.252
Nb 0.626 0.875 0.252
Mo 0.500 0.000 0.000
Nb 0.374 0.623 0.748
Ta 0.000 0.500 0.000
Ta 0.245 0.245 0.490
! Spin magnetization   0.00 μB/f.u.
! ΔE to the lowest computed polymorph   257 meV/atom
! ρ   11.425 Mg/m³
! Space-group type   No. 71
! E   -10.623 eV per atom

=====

Record 10
! PBE Ta3Nb2Mo2, optimized geometry; values from VASP
&SYSTEM
  ibrav = 0, nat = 7, ntyp = 3
/
ATOMIC_SPECIES
Ta 180.95 Ta.upf
Mo 95.94 Mo.upf
Nb 92.91 Nb.upf
CELL_PARAMETERS angstrom
-2.977 2.101 -2.340
-2.046 -6.987 0.312
-3.097 -0.478 3.492
ATOMIC_POSITIONS crystal
Ta 0.756 0.511 0.245
Mo 0.627 0.252 0.872
Ta 0.000 0.000 0.000
Nb 0.883 0.770 0.616
Nb 0.117 0.230 0.384
Mo 0.373 0.748 0.128
Ta 0.244 0.489 0.755
! Spin magnetization   0.00 μB/f.u.
! ΔE to the lowest computed polymorph   489 meV/atom
! ρ   11.447 Mg/m³
! Space-group type   No. 2
! E   -10.660 eV per atom

=====

Record 11
! PBE Ta2NbMo4, optimized geometry; values from VASP
&SYSTEM
  ibrav = 0, nat = 7, ntyp = 3
/
ATOMIC_SPECIES
Ta 180.95 Ta.upf
Mo 95.94 Mo.upf
Nb 92.91 Nb.upf
CELL_PARAMETERS angstrom
2.677 0.000 0.000
0.000 2.688 0.000
0.000 -1.344 17.102
ATOMIC_POSITIONS crystal
Ta 0.500 0.577 0.154
Ta 0.500 0.423 0.846
Mo 0.500 0.713 0.427
Nb 0.000 0.500 0.000
Mo 0.000 0.146 0.291
Mo 0.000 0.854 0.709
Mo 0.500 0.287 0.573
! Spin magnetization   0.00 μB/f.u.
! ΔE to the lowest computed polymorph   72 meV/atom
! ρ   11.317 Mg/m³
! Space-group type   No. 65
! E   -10.529 eV per atom

=====

Record 12
! PBE Ta2NbMo, optimized geometry; values from VASP
&SYSTEM
  ibrav = 0, nat = 4, ntyp = 3
/
ATOMIC_SPECIES
Mo 95.94 Mo.upf
Ta 180.95 Ta.upf
Nb 92.91 Nb.upf
CELL_PARAMETERS angstrom
4.839 0.000 0.000
0.000 2.615 -0.585
0.000 -0.099 5.696
ATOMIC_POSITIONS crystal
Mo 0.500 0.866 0.732
Ta 0.500 0.115 0.230
Ta 0.000 0.500 0.999
Nb 0.000 0.249 0.497
! Spin magnetization   0.00 μB/f.u.
! ΔE to the lowest computed polymorph   362 meV/atom
! ρ   12.735 Mg/m³
! Space-group type   No. 38
! E   -10.897 eV per atom

=====

Record 13
! PBE Ta12Nb6Mo, optimized geometry; values from VASP
&SYSTEM
  ibrav = 0, nat = 19, ntyp = 3
/
ATOMIC_SPECIES
Mo 95.94 Mo.upf
Ta 180.95 Ta.upf
Nb 92.91 Nb.upf
CELL_PARAMETERS angstrom
0.429 -5.285 4.726
2.209 -4.550 -4.987
6.808 1.500 1.361
ATOMIC_POSITIONS crystal
Mo 0.000 0.000 0.000
Ta 0.380 0.057 0.151
Ta 0.809 0.518 0.422
Nb 0.886 0.261 0.733
Nb 0.261 0.733 0.886
Ta 0.849 0.620 0.943
Ta 0.518 0.422 0.809
Ta 0.620 0.943 0.849
Nb 0.114 0.739 0.267
Ta 0.191 0.482 0.578
Nb 0.733 0.886 0.261
Ta 0.578 0.191 0.482
Ta 0.482 0.578 0.191
Ta 0.943 0.849 0.620
Nb 0.267 0.114 0.739
Ta 0.422 0.809 0.518
Ta 0.151 0.380 0.057
Ta 0.057 0.151 0.380
Nb 0.739 0.267 0.114
! Spin magnetization   0.00 μB/f.u.
! ρ   13.105 Mg/m³
! Space-group type   No. 148
! E   -11.072 eV per atom

=====

Record 14
! PBE TaNb2Mo, optimized geometry; values from VASP
&SYSTEM
  ibrav = 0, nat = 8, ntyp = 3
/
ATOMIC_SPECIES
Nb 92.91 Nb.upf
Ta 180.95 Ta.upf
Mo 95.94 Mo.upf
CELL_PARAMETERS angstrom
3.110 -0.332 0.000
0.831 7.735 0.000
1.555 -0.166 5.958
ATOMIC_POSITIONS crystal
Nb 0.632 0.462 0.735
Ta 0.015 0.750 0.970
Ta 0.985 0.250 0.030
Nb 0.368 0.538 0.265
Nb 0.367 0.962 0.265
Mo 0.269 0.250 0.462
Nb 0.633 0.038 0.735
Mo 0.731 0.750 0.538
! Spin magnetization   0.00 μB/f.u.
! ΔE to the lowest computed polymorph   285 meV/atom
! ρ   10.602 Mg/m³
! Space-group type   No. 63
! E   -10.513 eV per atom

=====

Record 15
! PBE TaNb6Mo2, optimized geometry; values from VASP
&SYSTEM
  ibrav = 0, nat = 9, ntyp = 3
/
ATOMIC_SPECIES
Nb 92.91 Nb.upf
Mo 95.94 Mo.upf
Ta 180.95 Ta.upf
CELL_PARAMETERS angstrom
-2.627 -3.230 1.944
1.714 -2.655 3.336
-3.134 4.134 8.065
ATOMIC_POSITIONS crystal
Nb 0.408 0.408 0.777
Nb 0.196 0.196 0.411
Nb 0.592 0.592 0.223
Nb 0.299 0.299 0.103
Mo 0.899 0.899 0.302
Nb 0.701 0.701 0.897
Mo 0.101 0.101 0.698
Ta 0.000 0.000 0.000
Nb 0.804 0.804 0.589
! Spin magnetization   0.00 μB/f.u.
! ΔE to the lowest computed polymorph   281 meV/atom
! ρ   9.169 Mg/m³
! Space-group type   No. 166
! E   -10.242 eV per atom

=====

Record 16
! PBE TaNb2Mo, optimized geometry; values from VASP
&SYSTEM
  ibrav = 0, nat = 4, ntyp = 3
/
ATOMIC_SPECIES
Ta 180.95 Ta.upf
Nb 92.91 Nb.upf
Mo 95.94 Mo.upf
CELL_PARAMETERS angstrom
-5.075 1.740 -2.852
1.574 -4.623 3.615
3.815 0.283 4.720
ATOMIC_POSITIONS crystal
Ta 0.000 0.500 0.500
Nb 0.000 0.244 0.244
Nb 0.000 0.756 0.756
Mo 0.000 0.000 0.000
! Spin magnetization   0.00 μB/f.u.
! ΔE to the lowest computed polymorph   747 meV/atom
! ρ   10.185 Mg/m³
! Space-group type   No. 71
! E   -10.051 eV per atom

=====

Record 17
! PBE Ta5Nb2Mo4, optimized geometry; values from VASP
&SYSTEM
  ibrav = 0, nat = 11, ntyp = 3
/
ATOMIC_SPECIES
Ta 180.95 Ta.upf
Mo 95.94 Mo.upf
Nb 92.91 Nb.upf
CELL_PARAMETERS angstrom
3.057 0.000 -0.497
-0.100 6.010 -0.616
0.232 0.982 11.076
ATOMIC_POSITIONS crystal
Ta 0.500 0.000 0.000
Ta 0.805 0.893 0.610
Mo 0.038 0.338 0.076
Mo 0.365 0.596 0.730
Nb 0.092 0.768 0.184
Nb 0.908 0.232 0.816
Ta 0.785 0.348 0.569
Mo 0.962 0.662 0.924
Ta 0.195 0.107 0.390
Mo 0.635 0.404 0.270
Ta 0.215 0.652 0.431
! Spin magnetization   0.00 μB/f.u.
! ΔE to the lowest computed polymorph   0 meV/atom
! ρ   11.878 Mg/m³
! Space-group type   No. 12
! E   -10.673 eV per atom

=====

Record 18
! PBE Ta2Nb6Mo, optimized geometry; values from VASP
&SYSTEM
  ibrav = 0, nat = 9, ntyp = 3
/
ATOMIC_SPECIES
Ta 180.95 Ta.upf
Nb 92.91 Nb.upf
Mo 95.94 Mo.upf
CELL_PARAMETERS angstrom
2.718 0.000 0.000
1.359 7.445 0.143
1.359 1.450 8.219
ATOMIC_POSITIONS crystal
Ta 0.668 0.990 0.673
Nb 0.387 0.669 0.558
Nb 0.777 0.337 0.109
Nb 0.949 0.328 0.773
Nb 0.613 0.331 0.442
Mo 0.000 0.000 0.000
Nb 0.223 0.663 0.891
Ta 0.332 0.010 0.327
Nb 0.051 0.672 0.227
! Spin magnetization   0.00 μB/f.u.
! ΔE to the lowest computed polymorph   243 meV/atom
! ρ   10.171 Mg/m³
! Space-group type   No. 12
! E   -10.338 eV per atom

=====

Record 19
! PBE Ta5NbMo, optimized geometry; values from VASP
&SYSTEM
  ibrav = 0, nat = 14, ntyp = 3
/
ATOMIC_SPECIES
Mo 95.94 Mo.upf
Ta 180.95 Ta.upf
Nb 92.91 Nb.upf
CELL_PARAMETERS angstrom
-6.111 -1.978 3.881
-4.563 -3.324 -4.944
-0.137 -5.289 0.782
ATOMIC_POSITIONS crystal
Mo 0.000 0.000 0.000
Ta 0.869 0.874 0.629
Ta 0.583 0.917 0.250
Ta 0.750 0.250 0.750
Mo 0.500 0.500 0.500
Ta 0.250 0.750 0.250
Ta 0.374 0.369 0.129
Nb 0.916 0.584 0.250
Ta 0.626 0.631 0.871
Ta 0.250 0.750 0.750
Ta 0.750 0.250 0.250
Ta 0.417 0.083 0.750
Ta 0.131 0.126 0.371
Nb 0.084 0.416 0.750
! Spin magnetization   0.00 μB/f.u.
! ΔE to the lowest computed polymorph   0 meV/atom
! ρ   14.012 Mg/m³
! Space-group type   No. 74
! E   -11.383 eV per atom

=====

Record 20
! PBE TaNbMo, optimized geometry; values from VASP
&SYSTEM
  ibrav = 0, nat = 3, ntyp = 3
/
ATOMIC_SPECIES
Mo 95.94 Mo.upf
Ta 180.95 Ta.upf
Nb 92.91 Nb.upf
CELL_PARAMETERS angstrom
3.238 0.000 0.000
0.000 3.238 0.000
-1.619 -1.619 4.953
ATOMIC_POSITIONS crystal
Mo 0.667 0.667 0.333
Ta 0.327 0.327 0.654
Nb 0.006 0.006 0.013
! Spin magnetization   0.00 μB/f.u.
! ΔE to the lowest computed polymorph   0 meV/atom
! ρ   11.822 Mg/m³
! Space-group type   No. 107
! E   -11.053 eV per atom